1.
CaCd2Pt2: relaxed, PBE-GGA.

Unit cell a=7.5801 b=7.5801 c=3.5755 alpha=90.00 beta=90.00 gamma=90.00
Space group P4/mbm (No. 127)
Asymmetric unit:
1 Ca 0.0000 0.0000 0.0000
2 Cd 0.1609 0.3391 0.5000
3 Pt 0.1341 0.6341 0.0000

---

2.
Ca2CdPt2: relaxed, PBE-GGA.

Unit cell a=5.5948 b=5.5948 c=8.0655 alpha=90.00 beta=90.00 gamma=90.00
Space group I4/mmm (No. 139)
Asymmetric unit:
1 Ca 0.0000 0.5000 0.2500
2 Cd 0.0000 0.0000 0.0000
3 Pt 0.0000 0.0000 0.3392

---

3.
Ca2CdPt2: relaxed, PBE-GGA.

Unit cell a=3.8590 b=3.8590 c=16.7163 alpha=90.00 beta=90.00 gamma=90.00
Space group I4/mmm (No. 139)
Asymmetric unit:
1 Ca 0.0000 0.0000 0.1194
2 Cd 0.0000 0.0000 0.5000
3 Pt 0.0000 0.5000 0.2500

---

4.
Ca6Cd5Pt: relaxed, PBE-GGA.

Unit cell a=5.3560 b=7.4696 c=8.4814 alpha=90.00 beta=108.05 gamma=90.00
Space group P2/m (No. 10)
Asymmetric unit:
1 Ca 0.0000 0.2311 0.0000
2 Ca 0.3458 0.2404 0.6880
3 Cd 0.1679 0.5000 0.3416
4 Cd 0.1758 0.0000 0.3552
5 Cd 0.5000 0.5000 0.0000
6 Pt 0.5000 0.0000 0.0000

---

5.
CaCdPt: relaxed, PBE-GGA.

Unit cell a=5.4377 b=7.9005 c=6.7998 alpha=90.00 beta=90.00 gamma=90.00
Space group Imma (No. 74)
Asymmetric unit:
1 Ca 0.0000 0.0000 0.0000
2 Cd 0.0000 0.2500 0.3911
3 Pt 0.2500 0.2500 0.7500

---

6.
CaCd3Pt: relaxed, PBE-GGA.

Unit cell a=5.6743 b=5.6743 c=5.6743 alpha=90.00 beta=90.00 gamma=90.00
Space group Pm-3m (No. 221)
Asymmetric unit:
1 Ca 0.0000 0.0000 0.0000
2 Cd 0.0000 0.0000 0.5000
3 Pt 0.5000 0.5000 0.5000

---

7.
Ca4CdPt2: relaxed, PBE-GGA.

Unit cell a=4.8295 b=4.8295 c=29.5236 alpha=90.00 beta=90.00 gamma=120.00
Space group R-3m (No. 166, hexagonal axes)
Asymmetric unit:
1 Ca 0.0000 0.0000 0.1089
2 Ca 0.0000 0.0000 0.2989
3 Cd 0.0000 0.0000 0.5000
4 Pt 0.0000 0.0000 0.4046

---

8.
Ca2Cd2Pt: relaxed, PBE-GGA.

Unit cell a=7.3577 b=7.3577 c=4.6900 alpha=90.00 beta=90.00 gamma=90.00
Space group P4/mbm (No. 127)
Asymmetric unit:
1 Ca 0.1789 0.3211 0.0000
2 Cd 0.1361 0.6361 0.5000
3 Pt 0.0000 0.0000 0.5000

---

9.
CaCdPt3: relaxed, PBE-GGA.

Unit cell a=4.9901 b=4.9901 c=4.9901 alpha=90.00 beta=90.00 gamma=90.00
Space group Pm-3m (No. 221)
Asymmetric unit:
1 Ca 0.0000 0.0000 0.0000
2 Cd 0.5000 0.5000 0.5000
3 Pt 0.0000 0.5000 0.5000

---

10.
Ca5Cd2Pt2: relaxed, PBE-GGA.

Unit cell a=16.5185 b=7.7668 c=7.8240 alpha=90.00 beta=90.00 gamma=90.00
Space group Cmce (No. 64)
Asymmetric unit:
1 Ca 0.0000 0.0000 0.0000
2 Ca 0.1195 0.1712 0.3287
3 Cd 0.2179 0.0000 0.0000
4 Pt 0.0000 0.1271 0.6276

---

11.
Ca3CdPt: relaxed, PBE-GGA.

Unit cell a=9.2900 b=7.4164 c=8.7069 alpha=90.00 beta=100.74 gamma=90.00
Space group P2_1/c (No. 14)
Asymmetric unit:
1 Ca 0.0401 0.0045 0.2073
2 Ca 0.2577 0.6485 0.0733
3 Ca 0.3382 0.1761 0.9596
4 Cd 0.4356 0.5492 0.7967
5 Pt 0.0597 0.1798 0.5119

---

12.
Ca4CdPt2: relaxed, PBE-GGA.

Unit cell a=5.1759 b=8.9700 c=15.6896 alpha=90.00 beta=90.00 gamma=90.00
Space group Cmcm (No. 63)
Asymmetric unit:
1 Ca 0.0000 0.0000 0.0000
2 Ca 0.0000 0.3328 0.1188
3 Ca 0.0000 0.3340 0.7500
4 Cd 0.0000 0.0007 0.7500
5 Pt 0.0000 0.3337 0.5649

---

13.
CaCdPt: relaxed, PBE-GGA.

Unit cell a=3.6214 b=3.6214 c=10.0147 alpha=90.00 beta=90.00 gamma=90.00
Space group I4mm (No. 107)
Asymmetric unit:
1 Ca 0.0000 0.0000 0.0000
2 Cd 0.0000 0.0000 0.3004
3 Pt 0.0000 0.0000 0.6641

---

14.
Ca4Cd5Pt2: relaxed, PBE-GGA.

Unit cell a=7.6626 b=3.8038 c=9.7582 alpha=90.00 beta=94.19 gamma=90.00
Space group P2/m (No. 10)
Asymmetric unit:
1 Ca 0.1717 0.0000 0.3554
2 Ca 0.2212 0.0000 0.9451
3 Cd 0.1869 0.5000 0.6578
4 Cd 0.4478 0.5000 0.1795
5 Cd 0.5000 0.5000 0.5000
6 Pt 0.0713 0.5000 0.1417

---

15.
Ca3CdPt2: relaxed, PBE-GGA.

Unit cell a=16.3322 b=4.1429 c=4.5231 alpha=90.00 beta=105.97 gamma=90.00
Space group C2/m (No. 12)
Asymmetric unit:
1 Ca 0.0000 0.0000 0.0000
2 Ca 0.1796 0.0000 0.6794
3 Cd 0.0000 0.5000 0.5000
4 Pt 0.1314 0.5000 0.1319

---

16.
CaCd2Pt2: relaxed, PBE-GGA.

Unit cell a=8.0761 b=8.0761 c=3.0641 alpha=90.00 beta=90.00 gamma=90.00
Space group P4/mbm (No. 127)
Asymmetric unit:
1 Ca 0.0000 0.0000 0.0000
2 Cd 0.1239 0.3761 0.0000
3 Pt 0.1753 0.6753 0.5000

---

17.
CaCd5Pt: relaxed, PBE-GGA.

Unit cell a=4.7405 b=4.7405 c=7.3776 alpha=90.00 beta=90.00 gamma=90.00
Space group P4/mmm (No. 123)
Asymmetric unit:
1 Ca 0.0000 0.0000 0.0000
2 Cd 0.0000 0.5000 0.2969
3 Cd 0.5000 0.5000 0.0000
4 Pt 0.0000 0.0000 0.5000

---

18.
CaCdPt: relaxed, PBE-GGA.

Unit cell a=7.2918 b=4.3356 c=8.5918 alpha=90.00 beta=90.00 gamma=90.00
Space group Pnma (No. 62)
Asymmetric unit:
1 Ca 0.0355 0.2500 0.1769
2 Cd 0.1424 0.2500 0.5623
3 Pt 0.2433 0.7500 0.3717

---

19.
CaCdPt: relaxed, PBE-GGA.

Unit cell a=7.4132 b=4.2875 c=12.8373 alpha=90.00 beta=90.58 gamma=90.00
Space group P2_1/m (No. 11)
Asymmetric unit:
1 Ca 0.0375 0.2500 0.1205
2 Ca 0.1532 0.2500 0.4181
3 Ca 0.4585 0.7500 0.7870
4 Cd 0.1265 0.2500 0.7042
5 Cd 0.3586 0.7500 0.0426
6 Cd 0.4966 0.7500 0.4123
7 Pt 0.2442 0.7500 0.2499
8 Pt 0.2537 0.7500 0.5826
9 Pt 0.2546 0.2500 0.9135

---

20.
Ca3Cd9Pt2: relaxed, PBE-GGA.

Unit cell a=4.8102 b=10.7904 c=12.6338 alpha=90.00 beta=90.00 gamma=90.00
Space group Immm (No. 71)
Asymmetric unit:
1 Ca 0.0000 0.0000 0.0000
2 Ca 0.0000 0.0000 0.3008
3 Cd 0.0000 0.2791 0.1313
4 Cd 0.0000 0.3649 0.3629
5 Cd 0.0000 0.5000 0.0000
6 Pt 0.0000 0.1477 0.5000

---

no.,VASP energy (eV/cell)
1,-36.69
2,-40.22
3,-38.98
4,-27.84
5,-42.90
6,-5.32
7,-77.04
8,-27.43
9,-19.05
10,-117.39
11,-63.01
12,-101.40
13,-21.19
14,-30.50
15,-46.64
16,-36.69
17,-14.64
18,-44.67
19,-66.80
20,-62.46